1.
MgReP3: relaxed, PBE-GGA.

Geometry as extended XYZ:
```
5
Lattice="4.6760 0.0000 0.0000 0.0000 4.6760 0.0000 0.0000 0.0000 4.6760" Properties=species:S:1:pos:R:3 pbc="T T T"
Mg 2.3380 2.3380 2.3380
P 2.3380 0.0000 0.0000
P 0.0000 0.0000 2.3380
P 0.0000 2.3380 0.0000
Re 0.0000 0.0000 0.0000
```

Summary:
SG: Pm-3m (221)
volume: 102.2 Å³/cell
size of the total moment: 0.00 μB/f.u.



2.
MgReP3: relaxed, PBE-GGA.

Geometry as extended XYZ:
```
5
Lattice="4.5516 0.0000 0.0000 0.0000 4.5516 0.0000 0.0000 0.0000 4.5516" Properties=species:S:1:pos:R:3 pbc="T T T"
Re 2.2758 2.2758 2.2758
P 2.2758 0.0000 0.0000
P 0.0000 0.0000 2.2758
P 0.0000 2.2758 0.0000
Mg 0.0000 0.0000 0.0000
```

Summary:
SG: Pm-3m (221)
volume: 94.3 Å³/cell
size of the total moment: 0.01 μB/f.u.



Relative calculated energies, zero for the most stable structure, unit kJ/mol of atoms: 1 0.0; 2 129.1.



1.
MgRePS2: relaxed, PBE-GGA.

Geometry as extended XYZ:
```
5
Lattice="4.6349 0.0000 0.0000 0.0000 4.6349 0.0000 0.0000 0.0000 4.8019" Properties=species:S:1:pos:R:3 pbc="T T T"
S 2.3174 0.0000 0.0000
S 0.0000 2.3174 0.0000
Mg 0.0000 0.0000 0.0000
Re 2.3174 2.3174 2.4009
P 0.0000 0.0000 2.4009
```

Summary:
SG: P4/mmm (123)
volume: 103.2 Å³/cell
size of the total moment: 2.79 μB/f.u.



2.
MgRePS2: relaxed, PBE-GGA.

Geometry as extended XYZ:
```
5
Lattice="-4.0189 1.7189 -1.7324 -0.8631 -4.1231 -2.0886 -2.2576 -1.4510 3.7974" Properties=species:S:1:pos:R:3 pbc="T T T"
S -0.4316 -2.0616 -1.0443
S -2.0094 0.8594 -0.8662
Mg -3.5698 -1.9276 -0.0118
Re 0.0000 0.0000 0.0000
P -1.1288 -0.7255 1.8987
```

Summary:
SG: P4/mmm (123)
volume: 102.8 Å³/cell
size of the total moment: 0.00 μB/f.u.



Relative calculated energies, zero for the most stable structure, unit kJ/mol of atoms: 1 102.4; 2 0.0.



1.
Mg3PRh: relaxed, PBE-GGA.

Geometry as extended XYZ:
```
5
Lattice="4.8235 0.0000 0.0000 0.0000 4.8235 0.0000 0.0000 0.0000 4.8235" Properties=species:S:1:pos:R:3 pbc="T T T"
Mg 2.4118 0.0000 0.0000
Mg 0.0000 2.4118 0.0000
Mg 0.0000 0.0000 2.4118
P 2.4118 2.4118 2.4118
Rh 0.0000 0.0000 0.0000
```

Summary:
SG: Pm-3m (221)
volume: 112.2 Å³/cell
size of the total moment: 0.00 μB/f.u.



2.
Mg3PRh: relaxed, PBE-GGA.

Geometry as extended XYZ:
```
5
Lattice="-1.9126 3.2160 2.9111 -3.4657 0.7805 -3.1392 -2.6088 -3.3946 2.0361" Properties=species:S:1:pos:R:3 pbc="T T T"
Rh -3.9935 0.3009 0.9040
P 0.0000 0.0000 0.0000
Mg -0.9563 1.6080 1.4555
Mg -1.7328 0.3903 -1.5696
Mg -1.3044 -1.6973 1.0181
```

Summary:
SG: Pm-3m (221)
volume: 106.5 Å³/cell
size of the total moment: 0.00 μB/f.u.



Relative calculated energies, zero for the most stable structure, unit kJ/mol of atoms: 1 4.1; 2 0.0.



1.
MgPRhS2: relaxed, PBE-GGA.

Geometry as extended XYZ:
```
5
Lattice="4.6242 0.0000 0.0000 0.0000 4.6242 0.0000 0.0000 0.0000 4.6984" Properties=species:S:1:pos:R:3 pbc="T T T"
Rh 2.3121 2.3121 2.3492
S 2.3121 0.0000 0.0000
S 0.0000 2.3121 0.0000
Mg 0.0000 0.0000 0.0000
P 0.0000 0.0000 2.3492
```

Summary:
SG: P4/mmm (123)
volume: 100.5 Å³/cell
size of the total moment: 0.00 μB/f.u.



2.
MgPRhS2: relaxed, PBE-GGA.

Geometry as extended XYZ:
```
5
Lattice="-2.2878 3.6364 -2.3962 -3.1084 -3.2593 -1.9785 -2.6573 0.5175 3.3225" Properties=species:S:1:pos:R:3 pbc="T T T"
Mg -4.0268 0.4473 -0.5261
S -1.5542 -1.6296 -0.9892
S -1.1439 1.8182 -1.1981
Rh 0.0000 0.0000 0.0000
P -1.3287 0.2587 1.6612
```

Summary:
SG: P4/mmm (123)
volume: 103.7 Å³/cell
size of the total moment: 0.00 μB/f.u.



Relative calculated energies, zero for the most stable structure, unit kJ/mol of atoms: 1 73.6; 2 0.0.



1.
MgP2RhS: relaxed, PBE-GGA.

Geometry as extended XYZ:
```
5
Lattice="4.4462 0.0000 0.0000 0.0000 4.4462 0.0000 0.0000 0.0000 5.2650" Properties=species:S:1:pos:R:3 pbc="T T T"
Rh 0.0000 0.0000 0.0000
S 0.0000 0.0000 2.6325
P 2.2231 0.0000 0.0000
P 0.0000 2.2231 0.0000
Mg 2.2231 2.2231 2.6325
```

Summary:
SG: P4/mmm (123)
volume: 104.1 Å³/cell
size of the total moment: 0.00 μB/f.u.



2.
MgP2RhS: relaxed, PBE-GGA.

Geometry as extended XYZ:
```
5
Lattice="-1.6616 -4.3068 0.5276 4.2412 -1.4928 1.1709 -0.9115 0.8961 4.4440" Properties=species:S:1:pos:R:3 pbc="T T T"
S -0.4557 0.4481 2.2220
P 2.1206 -0.7464 0.5855
P -0.8308 -2.1534 0.2638
Rh 0.8341 -2.4517 3.0713
Mg 0.0000 0.0000 0.0000
```

Summary:
SG: P4/mmm (123)
volume: 99.8 Å³/cell
size of the total moment: 0.00 μB/f.u.



Relative calculated energies, zero for the most stable structure, unit kJ/mol of atoms: 1 0.0; 2 80.3.



1.
Mg2PRu2: relaxed, PBE-GGA.

Geometry as extended XYZ:
```
10
Lattice="-2.8190 4.4465 2.9695 -3.7493 0.7494 -4.6815 -2.7612 -2.9157 1.7447" Properties=species:S:1:pos:R:3 pbc="T T T"
Ru -4.8355 4.2577 -0.5375
Ru -1.7329 0.9382 -1.1746
Ru -4.1577 2.1807 -2.9359
Ru -2.4107 3.0152 1.2238
Mg -2.9425 0.1597 1.1037
Mg -4.3313 -0.2320 -1.7489
Mg -6.3871 2.1204 -1.0711
Mg -4.9983 2.5121 1.7815
P -3.2842 2.5979 -0.8560
P 0.0000 0.0000 0.0000
```

Summary:
SG: P4/mbm (127)
volume: 160.0 Å³/cell
size of the total moment: 0.00 μB/f.u.



2.
Mg2PRu2: relaxed, PBE-GGA.

Geometry as extended XYZ:
```
10
Lattice="-0.2148 2.5892 -6.2302 2.8801 -5.6017 -2.4273 -3.0437 -1.3646 -0.4622" Properties=species:S:1:pos:R:3 pbc="T T T"
P 0.0000 0.0000 0.0000
P 1.3327 -1.5062 -4.3288
Mg 2.4117 -3.8990 -4.3697
Mg 0.2537 0.8866 -4.2878
Mg 1.0208 -1.6913 -1.7288
Mg 1.6445 -1.3211 -6.9287
Ru 0.3660 -3.9893 -2.8993
Ru -0.7444 -0.3878 -6.2204
Ru -1.1093 -0.7638 -2.7073
Ru 0.7309 -3.6132 -6.4124
```

Summary:
SG: P4/mbm (127)
volume: 153.4 Å³/cell
size of the total moment: 0.64 μB/f.u.



Relative calculated energies, zero for the most stable structure, unit kJ/mol of atoms: 1 0.0; 2 84.1.



1.
MgPRu3: relaxed, PBE-GGA.

Geometry as extended XYZ:
```
5
Lattice="-3.4827 -0.3779 -2.5942 -0.2262 -4.2542 0.9234 -2.6118 0.8724 3.3793" Properties=species:S:1:pos:R:3 pbc="T T T"
P 0.0000 0.0000 0.0000
Ru -1.7414 -0.1889 -1.2971
Ru -1.3059 0.4362 1.6896
Ru -0.1131 -2.1271 0.4617
Mg -3.1604 -1.8799 0.8542
```

Summary:
SG: Pm-3m (221)
volume: 82.8 Å³/cell
size of the total moment: 0.61 μB/f.u.



2.
MgPRu3: relaxed, PBE-GGA.

Geometry as extended XYZ:
```
5
Lattice="4.4374 0.0000 0.0000 0.0000 4.4374 0.0000 0.0000 0.0000 4.4374" Properties=species:S:1:pos:R:3 pbc="T T T"
P 2.2187 2.2187 2.2187
Mg 0.0000 0.0000 0.0000
Ru 2.2187 0.0000 0.0000
Ru 0.0000 0.0000 2.2187
Ru 0.0000 2.2187 0.0000
```

Summary:
SG: Pm-3m (221)
volume: 87.4 Å³/cell
size of the total moment: 0.76 μB/f.u.



Relative calculated energies, zero for the most stable structure, unit kJ/mol of atoms: 1 0.0; 2 175.6.



1.
MgP2RuS: relaxed, PBE-GGA.

Geometry as extended XYZ:
```
5
Lattice="4.7095 0.0000 0.0000 0.0000 4.7095 0.0000 0.0000 0.0000 4.6065" Properties=species:S:1:pos:R:3 pbc="T T T"
Mg 0.0000 0.0000 0.0000
Ru 2.3548 2.3548 2.3032
P 0.0000 2.3548 0.0000
P 2.3548 0.0000 0.0000
S 0.0000 0.0000 2.3032
```

Summary:
SG: P4/mmm (123)
volume: 102.2 Å³/cell
size of the total moment: 1.92 μB/f.u.



2.
MgP2RuS: relaxed, PBE-GGA.

Geometry as extended XYZ:
```
5
Lattice="4.4125 0.0000 0.0000 0.0000 4.4125 0.0000 0.0000 0.0000 5.3567" Properties=species:S:1:pos:R:3 pbc="T T T"
Ru 0.0000 0.0000 0.0000
P 2.2063 0.0000 0.0000
P 0.0000 2.2063 0.0000
S 0.0000 0.0000 2.6783
Mg 2.2063 2.2063 2.6783
```

Summary:
SG: P4/mmm (123)
volume: 104.3 Å³/cell
size of the total moment: 0.00 μB/f.u.



Relative calculated energies, zero for the most stable structure, unit kJ/mol of atoms: 1 100.9; 2 0.0.